1.
Here is AlAg3Cl after structural relaxation from the Alexandria database. Energies are from PBE.

```
AlAg3Cl
1.0
4.991 0.000 0.000
0.000 4.991 0.000
0.000 0.000 4.991
Ag Cl Al
3 1 1
direct
0.000 0.000 0.500 Ag
0.000 0.500 0.000 Ag
0.500 0.000 0.000 Ag
0.500 0.500 0.500 Cl
0.000 0.000 0.000 Al
```

* raw formation energy: 450 meV/atom
* E above lowest polymorph: 0.00 eV/f.u.
* total energy: -11.9 eV for the cell shown
* SG: No. 221
* total magnetization: 0.0 μB/f.u.



2.
Here is LiMgSCl2 after structural relaxation from the Alexandria database. Energies are from PBE.

```
LiMgSCl2
1.0
4.975 0.000 0.000
0.000 4.975 0.000
0.000 0.000 4.938
Cl Mg Li S
2 1 1 1
direct
0.000 0.500 0.000 Cl
0.500 0.000 0.000 Cl
0.000 0.000 0.000 Mg
0.500 0.500 0.500 Li
0.000 0.000 0.500 S
```

* raw formation energy: -1011 meV/atom
* E above lowest polymorph: 0.00 eV/f.u.
* total energy: -16.4 eV for the cell shown
* SG: No. 123
* total magnetization: 1.0 μB/f.u.



3.
Here is MoIr6Rh2 after structural relaxation from the Alexandria database. Energies are from PBE.

```
MoIr6Rh2
1.0
5.981 1.067 0.553
2.056 8.452 2.794
-1.250 1.067 5.875
Rh Mo Ir
4 2 12
direct
0.417 0.249 0.240 Rh
0.583 0.751 0.760 Rh
0.760 0.251 0.583 Rh
0.240 0.749 0.417 Rh
0.088 0.250 0.912 Mo
0.912 0.750 0.088 Mo
0.758 0.567 0.483 Ir
0.576 0.434 0.851 Ir
0.242 0.433 0.517 Ir
0.517 0.933 0.242 Ir
0.905 0.434 0.178 Ir
0.178 0.934 0.905 Ir
0.424 0.566 0.149 Ir
0.095 0.566 0.822 Ir
0.822 0.066 0.095 Ir
0.851 0.934 0.576 Ir
0.483 0.067 0.758 Ir
0.149 0.066 0.424 Ir
```

* ΔE_f: 0.0 eV/f.u.
* total energy: -157.5 eV for the cell shown
* SG: No. 15
* total magnetization: 0.0 μB/f.u.



4.
Here is Y2ZnCu3Ni12 after structural relaxation from the Alexandria database. Energies are from PBE.

```
Y2ZnCu3Ni12
1.0
9.054 1.865 1.323
6.093 6.952 1.323
6.093 3.547 6.124
Ni Zn Y Cu
12 1 2 3
direct
0.358 0.927 0.927 Ni
0.811 0.421 0.421 Ni
0.421 0.421 0.811 Ni
0.927 0.927 0.358 Ni
0.073 0.073 0.642 Ni
0.642 0.073 0.073 Ni
0.579 0.189 0.579 Ni
0.073 0.642 0.073 Ni
0.927 0.358 0.927 Ni
0.421 0.811 0.421 Ni
0.189 0.579 0.579 Ni
0.579 0.579 0.189 Ni
0.000 0.000 0.000 Zn
0.649 0.649 0.649 Y
0.351 0.351 0.351 Y
0.500 0.000 0.000 Cu
0.000 0.000 0.500 Cu
0.000 0.500 0.000 Cu
```

* ΔE_f: 3.9 eV/f.u.
* total energy: -92.0 eV for the cell shown
* SG: No. 166
* total magnetization: 0.3 μB/f.u.



5.
Here is DyTmHg4 after structural relaxation from the Alexandria database. Energies are from PBE.

```
DyTmHg4
1.0
-0.510 -3.181 1.585
-0.553 -4.194 -4.529
6.755 -0.994 4.246
Hg Tm Dy
4 1 1
direct
0.664 0.004 0.669 Hg
0.171 0.495 0.163 Hg
0.336 0.996 0.331 Hg
0.829 0.505 0.837 Hg
0.000 0.000 0.000 Tm
0.500 0.500 0.500 Dy
```

* ΔE_f: -2.0 eV/f.u.
* E above lowest polymorph: 0.29 eV/f.u.
* total energy: -12.3 eV for the cell shown
* SG: No. 12
* total magnetization: 0.1 μB/f.u.



6.
Here is Pr2YPu after structural relaxation from the Alexandria database. Energies are from PBE.

```
Pr2YPu
1.0
3.633 0.000 0.000
1.816 3.146 0.000
1.816 1.049 11.657
Pr Pu Y
2 1 1
direct
0.082 0.082 0.754 Pr
0.251 0.251 0.246 Pr
0.667 0.667 0.000 Pu
0.500 0.500 0.500 Y
```

* ΔE_f: 0.5 eV/f.u.
* E above lowest polymorph: 0.04 eV/f.u.
* total energy: -29.8 eV for the cell shown
* SG: No. 160
* total magnetization: 6.1 μB/f.u.